A geometry-optimized Co4Ir3 structure, computed with PBE-GGA.

abc: 12.5615 12.5615 12.5615
angles: 167.81 167.81 17.27
Site moments in Bohr magnetons follow the coordinates.
Fractional coordinates of all 7 atoms:
Ir1 0.0000 0.0000 0.0000  0.29
Ir2 0.2893 0.2893 0.0000  0.04
Ir3 0.7107 0.7107 0.0000  0.04
Co1 0.1375 0.1375 0.0000  1.60
Co2 0.4270 0.4270 0.0000  1.62
Co3 0.5730 0.5730 0.0000  1.62
Co4 0.8625 0.8625 0.0000  1.60

**Crystal system**: tetragonal
**Excess energy over the best structure of this formula in the dataset**: 18.5 meV/atom
**ΔH_f (0 K)**: 0.41 eV per formula unit